(1)
Below is crystalline LiNd3Sc3S8 at its relaxed geometry, with properties calculated at the PBE level.

a = 7.757 Å, b = 7.757 Å, c = 7.757 Å
α = 59.10°, β = 59.10°, γ = 59.10°
Sites, in units of the cell vectors:
Li  0.000  0.000  0.000
Nd  0.000  0.000  0.500
Nd  0.000  0.500  0.000
Nd  0.500  0.000  0.000
Sc  0.000  0.500  0.500
Sc  0.500  0.000  0.500
Sc  0.500  0.500  0.000
S  0.246  0.246  0.735
S  0.246  0.735  0.246
S  0.259  0.259  0.259
S  0.265  0.754  0.754
S  0.735  0.246  0.246
S  0.741  0.741  0.741
S  0.754  0.265  0.754
S  0.754  0.754  0.265

Computed properties:
As for the space-group type: R-3m (166).

(2)
Below is crystalline Li2Nd3Se4S2 at its relaxed geometry, with properties calculated at the PBE level.

a = 12.057 Å, b = 12.057 Å, c = 12.057 Å
α = 157.33°, β = 157.33°, γ = 32.28°
Sites, in units of the cell vectors:
Li  0.110  0.110  0.000
Li  0.890  0.890  0.000
Nd  0.326  0.326  0.000
Nd  0.500  0.500  0.000
Nd  0.674  0.674  0.000
Se  0.083  0.583  0.500
Se  0.417  0.917  0.500
Se  0.583  0.083  0.500
Se  0.917  0.417  0.500
S  0.209  0.209  0.000
S  0.791  0.791  0.000

Computed properties:
As for the space-group type: I4/mmm (139).

(3)
Below is crystalline LiNdSeS at its relaxed geometry, with properties calculated at the PBE level.

a = 4.055 Å, b = 4.055 Å, c = 5.770 Å
α = 90.00°, β = 90.00°, γ = 90.00°
Sites, in units of the cell vectors:
Li  0.000  0.000  0.000
Nd  0.500  0.500  0.500
Se  0.500  0.500  0.000
S  0.000  0.000  0.500

Computed properties:
As for the space-group type: P4/mmm (123).

(4)
Below is crystalline Li2NdSiS4 at its relaxed geometry, with properties calculated at the PBE level.

a = 7.618 Å, b = 7.618 Å, c = 7.618 Å
α = 122.70°, β = 117.75°, γ = 89.66°
Sites, in units of the cell vectors:
Li  0.000  0.000  0.000
Li  0.500  0.000  0.000
Li  0.500  0.000  0.500
Li  0.500  0.500  0.500
Nd  0.000  0.500  0.500
Nd  0.500  0.500  0.000
Si  0.000  0.000  0.500
Si  0.000  0.500  0.000
S  0.212  0.243  0.969
S  0.227  0.757  0.469
S  0.232  0.217  0.484
S  0.232  0.748  0.016
S  0.768  0.252  0.984
S  0.768  0.783  0.516
S  0.773  0.243  0.531
S  0.788  0.757  0.031

Computed properties:
As for the space-group type: Imma (74).

(5)
Below is crystalline LiNd4Sm3S8 at its relaxed geometry, with properties calculated at the PBE level.

a = 8.052 Å, b = 8.052 Å, c = 8.052 Å
α = 59.89°, β = 59.89°, γ = 59.89°
Sites, in units of the cell vectors:
Li  0.000  0.000  0.000
Nd  0.000  0.000  0.500
Nd  0.000  0.500  0.000
Nd  0.500  0.000  0.000
Nd  0.500  0.500  0.500
Sm  0.000  0.500  0.500
Sm  0.500  0.000  0.500
Sm  0.500  0.500  0.000
S  0.243  0.243  0.754
S  0.243  0.754  0.243
S  0.246  0.757  0.757
S  0.252  0.252  0.252
S  0.748  0.748  0.748
S  0.754  0.243  0.243
S  0.757  0.246  0.757
S  0.757  0.757  0.246

Computed properties:
As for the space-group type: R-3m (166).

(6)
Below is crystalline LiNdSmS3 at its relaxed geometry, with properties calculated at the PBE level.

a = 8.276 Å, b = 3.895 Å, c = 8.509 Å
α = 90.00°, β = 101.78°, γ = 90.00°
Sites, in units of the cell vectors:
Li  0.086  0.250  0.084
Li  0.914  0.750  0.916
Nd  0.182  0.250  0.719
Nd  0.818  0.750  0.281
Sm  0.340  0.750  0.331
Sm  0.660  0.250  0.669
S  0.096  0.250  0.366
S  0.208  0.750  0.993
S  0.420  0.750  0.672
S  0.580  0.250  0.328
S  0.792  0.250  0.007
S  0.904  0.750  0.634

Computed properties:
As for the space-group type: P2_1/m (11).

(7)
Below is crystalline LiNd3Sm4S8 at its relaxed geometry, with properties calculated at the PBE level.

a = 8.034 Å, b = 8.034 Å, c = 8.034 Å
α = 60.01°, β = 60.01°, γ = 60.01°
Sites, in units of the cell vectors:
Li  0.000  0.000  0.000
Nd  0.000  0.500  0.500
Nd  0.500  0.000  0.500
Nd  0.500  0.500  0.000
Sm  0.000  0.000  0.500
Sm  0.000  0.500  0.000
Sm  0.500  0.000  0.000
Sm  0.500  0.500  0.500
S  0.241  0.755  0.755
S  0.245  0.245  0.759
S  0.245  0.759  0.245
S  0.248  0.248  0.248
S  0.752  0.752  0.752
S  0.755  0.241  0.755
S  0.755  0.755  0.241
S  0.759  0.245  0.245

Computed properties:
As for the space-group type: R-3m (166).

(8)
Below is crystalline LiNd2SmS4 at its relaxed geometry, with properties calculated at the PBE level.

a = 6.929 Å, b = 4.014 Å, c = 6.935 Å
α = 90.00°, β = 109.49°, γ = 90.00°
Sites, in units of the cell vectors:
Li  0.000  0.000  0.000
Nd  0.000  0.500  0.500
Nd  0.500  0.000  0.500
Sm  0.500  0.500  0.000
S  0.243  0.500  0.240
S  0.247  0.000  0.760
S  0.753  0.000  0.240
S  0.757  0.500  0.760

Computed properties:
As for the space-group type: P2/m (10).

(9)
Below is crystalline Li3Nd2SmS6 at its relaxed geometry, with properties calculated at the PBE level.

a = 7.004 Å, b = 7.004 Å, c = 6.632 Å
α = 100.12°, β = 100.12°, γ = 120.01°
Sites, in units of the cell vectors:
Li  0.000  0.000  0.000
Li  0.336  0.664  0.000
Li  0.664  0.336  0.000
Nd  0.167  0.833  0.500
Nd  0.833  0.167  0.500
Sm  0.500  0.500  0.500
S  0.085  0.415  0.244
S  0.255  0.255  0.756
S  0.415  0.085  0.244
S  0.585  0.915  0.756
S  0.745  0.745  0.244
S  0.915  0.585  0.756

Computed properties:
As for the space-group type: C2/m (12).

(10)
Below is crystalline LiNd2SmS5 at its relaxed geometry, with properties calculated at the PBE level.

a = 8.553 Å, b = 8.553 Å, c = 12.000 Å
α = 90.00°, β = 90.00°, γ = 152.86°
Sites, in units of the cell vectors:
Li  0.013  0.987  0.500
Li  0.987  0.013  0.000
Nd  0.378  0.622  0.314
Nd  0.391  0.609  0.701
Nd  0.609  0.391  0.201
Nd  0.622  0.378  0.814
Sm  0.303  0.697  0.017
Sm  0.697  0.303  0.517
S  0.002  0.998  0.302
S  0.136  0.864  0.016
S  0.192  0.808  0.356
S  0.211  0.789  0.679
S  0.455  0.545  0.089
S  0.545  0.455  0.589
S  0.789  0.211  0.179
S  0.808  0.192  0.856
S  0.864  0.136  0.516
S  0.998  0.002  0.802

Computed properties:
As for the space-group type: Cmc2_1 (36).

(11)
Below is crystalline LiNd2Sm3S6 at its relaxed geometry, with properties calculated at the PBE level.

a = 6.945 Å, b = 6.945 Å, c = 6.942 Å
α = 99.64°, β = 99.64°, γ = 120.17°
Sites, in units of the cell vectors:
Li  0.000  0.000  0.000
Nd  0.334  0.666  0.000
Nd  0.666  0.334  0.000
Sm  0.166  0.834  0.500
Sm  0.500  0.500  0.500
Sm  0.834  0.166  0.500
S  0.083  0.405  0.249
S  0.239  0.239  0.754
S  0.405  0.083  0.249
S  0.595  0.917  0.751
S  0.761  0.761  0.246
S  0.917  0.595  0.751

Computed properties:
As for the space-group type: C2/m (12).

(12)
Below is crystalline LiNdSnS3 at its relaxed geometry, with properties calculated at the PBE level.

a = 8.561 Å, b = 3.888 Å, c = 8.839 Å
α = 90.00°, β = 95.71°, γ = 90.00°
Sites, in units of the cell vectors:
Li  0.105  0.250  0.083
Li  0.895  0.750  0.917
Nd  0.151  0.250  0.706
Nd  0.849  0.750  0.294
Sn  0.354  0.750  0.332
Sn  0.646  0.250  0.668
S  0.109  0.250  0.368
S  0.182  0.750  0.944
S  0.385  0.750  0.627
S  0.615  0.250  0.373
S  0.818  0.250  0.056
S  0.891  0.750  0.632

Computed properties:
As for the space-group type: P2_1/m (11).

(13)
Below is crystalline Li3Nd3SnS8 at its relaxed geometry, with properties calculated at the PBE level.

a = 7.726 Å, b = 7.726 Å, c = 7.726 Å
α = 62.77°, β = 62.77°, γ = 62.77°
Sites, in units of the cell vectors:
Li  0.000  0.500  0.500
Li  0.500  0.000  0.500
Li  0.500  0.500  0.000
Nd  0.000  0.000  0.500
Nd  0.000  0.500  0.000
Nd  0.500  0.000  0.000
Sn  0.500  0.500  0.500
S  0.251  0.251  0.251
S  0.265  0.265  0.723
S  0.265  0.723  0.265
S  0.277  0.735  0.735
S  0.723  0.265  0.265
S  0.735  0.277  0.735
S  0.735  0.735  0.277
S  0.749  0.749  0.749

Computed properties:
As for the space-group type: R-3m (166).

(14)
Below is crystalline LiNd2SnS5 at its relaxed geometry, with properties calculated at the PBE level.

a = 8.884 Å, b = 8.884 Å, c = 11.489 Å
α = 90.00°, β = 90.00°, γ = 153.97°
Sites, in units of the cell vectors:
Li  0.228  0.772  0.500
Li  0.772  0.228  0.000
Nd  0.122  0.878  0.796
Nd  0.129  0.871  0.175
Nd  0.871  0.129  0.675
Nd  0.878  0.122  0.296
Sn  0.416  0.584  0.975
Sn  0.584  0.416  0.475
S  0.028  0.972  0.583
S  0.296  0.704  0.827
S  0.304  0.696  0.146
S  0.363  0.637  0.489
S  0.488  0.512  0.779
S  0.512  0.488  0.279
S  0.637  0.363  0.989
S  0.696  0.304  0.646
S  0.704  0.296  0.327
S  0.972  0.028  0.083

Computed properties:
As for the space-group type: Cmc2_1 (36).

(15)
Below is crystalline SrLiNdS3 at its relaxed geometry, with properties calculated at the PBE level.

a = 8.529 Å, b = 4.077 Å, c = 8.695 Å
α = 90.00°, β = 101.36°, γ = 90.00°
Sites, in units of the cell vectors:
Sr  0.176  0.250  0.227
Sr  0.824  0.750  0.773
Li  0.084  0.250  0.585
Li  0.916  0.750  0.415
Nd  0.336  0.750  0.825
Nd  0.664  0.250  0.175
S  0.113  0.250  0.865
S  0.200  0.750  0.503
S  0.428  0.750  0.165
S  0.572  0.250  0.835
S  0.800  0.250  0.497
S  0.887  0.750  0.135

Computed properties:
As for the space-group type: P2_1/m (11).

(16)
Below is crystalline Sr3LiNd2S6 at its relaxed geometry, with properties calculated at the PBE level.

a = 7.173 Å, b = 7.173 Å, c = 7.211 Å
α = 99.53°, β = 99.53°, γ = 119.99°
Sites, in units of the cell vectors:
Sr  0.000  0.000  0.000
Sr  0.335  0.665  0.000
Sr  0.665  0.335  0.000
Li  0.500  0.500  0.500
Nd  0.167  0.833  0.500
Nd  0.833  0.167  0.500
S  0.087  0.421  0.264
S  0.245  0.245  0.735
S  0.421  0.087  0.264
S  0.579  0.913  0.736
S  0.755  0.755  0.265
S  0.913  0.579  0.736

Computed properties:
As for the space-group type: C2/m (12).

(17)
Below is crystalline Li3Tb2NdS6 at its relaxed geometry, with properties calculated at the PBE level.

a = 6.891 Å, b = 6.891 Å, c = 6.599 Å
α = 99.96°, β = 99.96°, γ = 120.04°
Sites, in units of the cell vectors:
Li  0.000  0.000  0.000
Li  0.330  0.670  0.000
Li  0.670  0.330  0.000
Tb  0.166  0.834  0.500
Tb  0.834  0.166  0.500
Nd  0.500  0.500  0.500
S  0.075  0.416  0.248
S  0.243  0.243  0.754
S  0.416  0.075  0.248
S  0.584  0.925  0.752
S  0.757  0.757  0.246
S  0.925  0.584  0.752

Computed properties:
As for the space-group type: C2/m (12).

(18)
Below is crystalline Li3TbNd2S6 at its relaxed geometry, with properties calculated at the PBE level.

a = 6.966 Å, b = 6.966 Å, c = 6.619 Å
α = 100.01°, β = 100.01°, γ = 120.06°
Sites, in units of the cell vectors:
Li  0.000  0.000  0.000
Li  0.340  0.660  0.000
Li  0.660  0.340  0.000
Tb  0.500  0.500  0.500
Nd  0.167  0.833  0.500
Nd  0.833  0.167  0.500
S  0.090  0.415  0.245
S  0.258  0.258  0.754
S  0.415  0.090  0.245
S  0.585  0.910  0.755
S  0.742  0.742  0.246
S  0.910  0.585  0.755

Computed properties:
As for the space-group type: C2/m (12).

(19)
Below is crystalline LiTbNd2S4 at its relaxed geometry, with properties calculated at the PBE level.

a = 6.870 Å, b = 3.985 Å, c = 6.897 Å
α = 90.00°, β = 109.45°, γ = 90.00°
Sites, in units of the cell vectors:
Li  0.000  0.000  0.000
Tb  0.500  0.500  0.000
Nd  0.000  0.500  0.500
Nd  0.500  0.000  0.500
S  0.243  0.500  0.235
S  0.251  0.000  0.765
S  0.749  0.000  0.235
S  0.757  0.500  0.765

Computed properties:
As for the space-group type: P2/m (10).

(20)
Below is crystalline LiTb4NdS8 at its relaxed geometry, with properties calculated at the PBE level.

a = 8.138 Å, b = 8.138 Å, c = 8.138 Å
α = 59.38°, β = 59.38°, γ = 59.38°
Sites, in units of the cell vectors:
Li  0.000  0.000  0.000
Tb  0.111  0.629  0.629
Tb  0.250  0.250  0.250
Tb  0.629  0.111  0.629
Tb  0.629  0.629  0.111
Nd  0.628  0.628  0.628
S  0.378  0.378  0.852
S  0.378  0.852  0.378
S  0.383  0.383  0.383
S  0.393  0.872  0.872
S  0.852  0.378  0.378
S  0.867  0.867  0.867
S  0.872  0.393  0.872
S  0.872  0.872  0.393

Computed properties:
As for the space-group type: R3m (160).

Number 1: raw formation energy -1.9011 eV/atom, E_tot -6.450 eV per atom. Number 2: raw formation energy -1.4528 eV/atom, E_tot -5.119 eV per atom. Number 3: raw formation energy -1.6634 eV/atom, E_tot -5.237 eV per atom. Number 4: raw formation energy -1.1381 eV/atom, E_tot -4.954 eV per atom. Number 5: raw formation energy -1.9690 eV/atom, E_tot -6.229 eV per atom. Number 6: raw formation energy -1.8223 eV/atom, E_tot -5.786 eV per atom. Number 7: raw formation energy -1.9681 eV/atom, E_tot -6.225 eV per atom. Number 8: raw formation energy -1.9172 eV/atom, E_tot -6.002 eV per atom. Number 9: raw formation energy -1.7869 eV/atom, E_tot -5.517 eV per atom. Number 10: raw formation energy -1.8972 eV/atom, E_tot -5.987 eV per atom. Number 11: raw formation energy -1.9608 eV/atom, E_tot -6.158 eV per atom. Number 12: raw formation energy -1.2883 eV/atom, E_tot -5.133 eV per atom. Number 13: raw formation energy -1.4824 eV/atom, E_tot -5.287 eV per atom. Number 14: raw formation energy -1.3957 eV/atom, E_tot -5.406 eV per atom. Number 15: raw formation energy -1.8860 eV/atom, E_tot -5.344 eV per atom. Number 16: raw formation energy -1.9776 eV/atom, E_tot -5.416 eV per atom. Number 17: raw formation energy -1.8201 eV/atom, E_tot -5.531 eV per atom. Number 18: raw formation energy -1.7982 eV/atom, E_tot -5.521 eV per atom. Number 19: raw formation energy -1.9218 eV/atom, E_tot -5.995 eV per atom. Number 20: raw formation energy -1.9497 eV/atom, E_tot -6.108 eV per atom.